(1)
Density functional theory data (PBE) for a geometry-optimized Tb5SnRu2 structure.

Unit cell a=7.750 b=7.750 c=8.746 alpha=116.30 beta=116.30 gamma=90.00
Fractional positions:
1 Tb 0.525 0.708 0.733
2 Tb 0.792 0.975 0.267
3 Tb 0.000 0.000 0.000
4 Tb 0.500 0.500 0.000
5 Tb 0.208 0.025 0.733
6 Tb 0.708 0.208 0.733
7 Tb 0.025 0.525 0.733
8 Tb 0.292 0.792 0.267
9 Tb 0.975 0.475 0.267
10 Tb 0.475 0.292 0.267
11 Sn 0.750 0.750 0.500
12 Sn 0.250 0.250 0.500
13 Ru 0.142 0.358 0.000
14 Ru 0.642 0.142 0.000
15 Ru 0.358 0.858 0.000
16 Ru 0.858 0.642 0.000

The formation enthalpy at 0 K comes out at -468 meV per atom.



(2)
Density functional theory data (PBE) for a geometry-optimized Tb3Sn2Ru2 structure.

Unit cell a=5.750 b=8.153 c=13.969 alpha=90.00 beta=90.00 gamma=90.00
Fractional positions:
1 Tb 0.164 0.595 0.093
2 Tb 0.836 0.405 0.593
3 Tb 0.836 0.095 0.407
4 Tb 0.164 0.905 0.907
5 Tb 0.836 0.405 0.907
6 Tb 0.164 0.595 0.407
7 Tb 0.164 0.905 0.593
8 Tb 0.836 0.095 0.093
9 Tb 0.384 0.220 0.250
10 Tb 0.616 0.780 0.750
11 Tb 0.616 0.720 0.250
12 Tb 0.384 0.280 0.750
13 Sn 0.349 0.250 0.000
14 Sn 0.651 0.750 0.500
15 Sn 0.651 0.750 0.000
16 Sn 0.349 0.250 0.500
17 Sn 0.892 0.382 0.250
18 Sn 0.108 0.618 0.750
19 Sn 0.108 0.882 0.250
20 Sn 0.892 0.118 0.750
21 Ru 0.647 0.460 0.092
22 Ru 0.353 0.540 0.592
23 Ru 0.353 0.960 0.408
24 Ru 0.647 0.040 0.908
25 Ru 0.353 0.540 0.908
26 Ru 0.647 0.460 0.408
27 Ru 0.647 0.040 0.592
28 Ru 0.353 0.960 0.092

The formation enthalpy at 0 K comes out at -584 meV per atom.



Number 1: N(E_F) 0.950 states/eV per atom, total energy -6.18 eV/atom, spin magnetization 0.0 μB/f.u.. Number 2: N(E_F) 0.555 states/eV per atom, total energy -6.36 eV/atom, spin magnetization 0.0 μB/f.u..